Pm2Dy6HoTm3 (PBE, optimized geometry); raw total energy = -0.1680 Ha/atom; formation energy = 0.0193 eV per atom; spin magnetization = 0.0 μB/f.u.
1.0
3.070 -5.313 0.000
3.070 5.313 0.000
-2.037 0.000 11.564
Pm Dy Ho Tm
2 6 1 3
Cartesian
3.070 3.543 0.000
3.070 -3.543 0.000
0.005 1.768 8.633
1.035 0.000 2.933
0.005 -1.768 8.633
4.099 1.768 2.931
3.069 0.000 8.631
4.099 -1.768 2.931
3.070 0.000 0.000
-1.018 0.000 5.782
2.052 1.769 5.782
2.052 -1.769 5.782

RuPbCl2 (PBE, optimized geometry); raw total energy = -0.1506 Ha/atom; energy relative to the lowest polymorph listed for this composition = 0.2708 eV per atom; spin magnetization = 2.3 μB/f.u.; formation energy (no corrections) = 0.072 eV/atom
1.0
1.705 0.984 8.885
-1.705 0.984 8.885
0.000 -1.968 8.885
Ru Pb Cl
1 1 2
Cartesian
0.000 0.000 0.000
0.000 0.000 13.328
0.000 0.000 7.257
0.000 0.000 19.398

CoP2H (PBE, optimized geometry); raw total energy = -0.1824 Ha/atom; energy relative to the lowest polymorph listed for this composition = 0.0751 eV per atom; spin magnetization = 0.0 μB/f.u.
1.0
-2.243 2.243 5.097
2.243 -2.243 5.097
2.243 2.243 -5.097
Co P H
2 4 2
Cartesian
0.000 0.000 0.000
0.000 2.243 2.549
1.122 -0.982 3.823
1.261 1.122 1.274
1.122 3.226 -1.274
0.982 1.122 6.372
2.243 0.000 2.549
0.000 0.000 5.097

YBe2B (PBE, optimized geometry); raw total energy = -0.1903 Ha/atom; formation energy = -0.0298 eV per atom; spin magnetization = 0.0 μB/f.u.
1.0
-2.013 2.013 6.659
2.013 -2.013 6.659
2.013 2.013 -6.659
Y Be B
2 4 2
Cartesian
2.013 1.007 1.665
0.000 1.007 4.994
0.000 0.000 0.000
1.007 1.007 -3.329
1.007 -1.007 3.329
0.000 2.013 0.000
2.013 -1.007 4.994
0.000 3.020 1.665

ErZn8Cu2 (PBE, optimized geometry); raw total energy = -0.0686 Ha/atom; formation energy = 0.2188 eV per atom; spin magnetization = 0.0 μB/f.u.
1.0
5.236 0.000 0.000
0.000 5.236 0.000
0.000 0.000 8.264
Er Zn Cu
1 8 2
Cartesian
0.000 0.000 0.000
1.322 1.322 2.384
1.322 1.322 5.879
1.322 3.915 2.384
1.322 3.915 5.879
3.915 1.322 2.384
3.915 1.322 5.879
3.915 3.915 2.384
3.915 3.915 5.879
0.000 2.618 4.132
2.618 0.000 4.132

RbNa2Au2 (PBE, optimized geometry); raw total energy = -0.0848 Ha/atom; formation energy = -0.2768 eV per atom; energy relative to the lowest polymorph listed for this composition = 0.0000 eV per atom; spin magnetization = 0.0 μB/f.u.
1.0
-2.399 2.399 6.604
2.399 -2.399 6.604
2.399 2.399 -6.604
Rb Na Au
1 2 2
Cartesian
0.000 0.000 0.000
2.399 0.000 3.302
0.000 2.399 3.302
0.000 0.000 5.205
0.000 0.000 8.002

Ac2TmSi3Pd12 (PBE, optimized geometry); raw total energy = -0.2051 Ha/atom; spin magnetization = 0.0 μB/f.u.; formation energy (no corrections) = -0.510 eV/atom
1.0
4.671 2.697 4.460
-4.671 2.697 4.460
0.000 -5.393 4.460
Ac Tm Si Pd
2 1 3 12
Cartesian
0.000 0.000 1.776
0.000 0.000 11.603
0.000 0.000 6.689
-2.335 -1.348 4.460
-2.335 1.348 8.919
0.000 2.697 4.460
0.000 -2.344 3.826
-2.030 1.172 3.826
-2.338 -1.350 6.834
0.000 -2.700 6.545
-2.338 1.350 6.545
-2.030 -1.172 9.553
2.030 1.172 3.826
2.338 -1.350 6.834
0.000 2.700 6.834
2.338 1.350 6.545
2.030 -1.172 9.553
0.000 2.344 9.553

PrRuBrO4 (PBE, optimized geometry); raw total energy = -0.2457 Ha/atom; spin magnetization = 2.0 μB/f.u.; formation energy (no corrections) = -1.605 eV/atom
1.0
5.397 -3.723 0.000
5.397 3.723 0.000
-1.801 0.000 6.896
Pr Ru Br O
2 2 2 8
Cartesian
2.258 0.000 0.804
6.736 0.000 6.092
2.629 0.000 5.010
6.365 0.000 1.886
-1.206 0.000 5.199
10.200 0.000 1.697
1.766 1.316 5.956
2.249 0.000 3.291
4.631 0.000 1.582
1.766 -1.316 5.956
7.228 1.316 0.940
4.363 0.000 5.314
6.745 0.000 3.605
7.228 -1.316 0.940

Na2HfCl2O2 (PBE, optimized geometry); raw total energy = -0.2245 Ha/atom; spin magnetization = 0.0 μB/f.u.; formation energy (no corrections) = -2.366 eV/atom
1.0
-2.049 2.049 7.630
2.049 -2.049 7.630
2.049 2.049 -7.630
Na Hf Cl O
2 1 2 2
Cartesian
0.000 0.000 1.751
0.000 0.000 13.509
0.000 0.000 7.630
0.000 0.000 5.069
0.000 0.000 10.192
2.049 0.000 0.000
0.000 2.049 0.000